# 1
Co2SiRu: relaxed, PBE.

The density of states at the Fermi level comes out at 1.153 states/eV/atom. Its total moment is 0.802 μB per atom. For the theoretical density, the calculation gives 8.7 Mg/m³. As for the formation energy from raw total energies: -0.9 eV per formula unit.

Unit cell a=4.0617 b=4.0617 c=4.0617 alpha=60.00 beta=60.00 gamma=60.00
With the nearest neighbours (Å) after each atom.
Sites, in units of the cell vectors:
Co: 0.0000 0.0000 0.0000  4 Co 2.49, 4 Si 2.49
Co: 0.2500 0.2500 0.2500  4 Co 2.49, 4 Ru 2.49
Si: 0.7500 0.7500 0.7500  4 Co 2.49, 4 Ru 2.49
Ru: 0.5000 0.5000 0.5000  4 Co 2.49, 4 Si 2.49


# 2
CoSiRu2: relaxed, PBE.

The density of states at the Fermi level comes out at 1.286 states/eV/atom. Its total moment is 0.000 μB per atom. For the theoretical density, the calculation gives 6.6 Mg/m³. As for the formation energy from raw total energies: 3.3 eV per formula unit.

Unit cell a=6.3172 b=6.3172 c=6.3172 alpha=129.77 beta=129.77 gamma=73.78
With the nearest neighbours (Å) after each atom.
Sites, in units of the cell vectors:
Co: 0.0000 0.0000 0.0000  4 Ru 2.24
Co: 0.7500 0.2500 0.5000  4 Ru 2.24
Si: 0.2500 0.7500 0.5000  4 Ru 2.32
Si: 0.5000 0.5000 0.0000  4 Ru 2.32
Ru: 0.1129 0.6250 0.9879  2 Co 2.24, 2 Si 2.32
Ru: 0.3750 0.3629 0.4879  2 Co 2.24, 2 Si 2.32
Ru: 0.6371 0.1250 0.0121  2 Co 2.24, 2 Si 2.32
Ru: 0.8750 0.8871 0.5121  2 Co 2.24, 2 Si 2.32


# 3
Co2SiRu: relaxed, PBE.

The density of states at the Fermi level comes out at 1.206 states/eV/atom. Its total moment is 0.763 μB per atom. For the theoretical density, the calculation gives 8.3 Mg/m³. As for the formation energy from raw total energies: 0.5 eV per formula unit.

Unit cell a=2.6361 b=2.6361 c=7.7610 alpha=90.00 beta=90.00 gamma=113.34
With the nearest neighbours (Å) after each atom.
Sites, in units of the cell vectors:
Co: 0.0000 0.0000 0.0000  2 Si 2.27, 2 Co 2.43
Co: 0.5000 0.5000 0.2514  6 Co 2.43-2.64, 2 Ru 2.60
Si: 0.5000 0.5000 0.7752  2 Co 2.27, 2 Ru 2.40
Ru: 0.0000 0.0000 0.5293  2 Si 2.40, 2 Co 2.60, 4 Ru 2.64


# 4
CoSiRu2: relaxed, PBE.

The density of states at the Fermi level comes out at 0.981 states/eV/atom. Its total moment is 0.612 μB per atom. For the theoretical density, the calculation gives 9.2 Mg/m³. As for the formation energy from raw total energies: 0.1 eV per formula unit.

Unit cell a=2.8265 b=4.1265 c=4.4659 alpha=90.00 beta=90.00 gamma=90.00
With the nearest neighbours (Å) after each atom.
Sites, in units of the cell vectors:
Co: 0.0000 0.0000 0.0000  4 Ru 2.50, 4 Si 2.64
Si: 0.5000 0.0000 0.5000  4 Ru 2.50, 4 Co 2.64
Ru: 0.0000 0.5000 0.5000  4 Si 2.50, 4 Ru 2.64
Ru: 0.5000 0.5000 0.0000  4 Co 2.50, 4 Ru 2.64


# 5
Co3SiRu: relaxed, PBE.

The density of states at the Fermi level comes out at 1.491 states/eV/atom. Its total moment is 1.256 μB per atom. For the theoretical density, the calculation gives 7.2 Mg/m³. As for the formation energy from raw total energies: 4.1 eV per formula unit.

Unit cell a=4.1375 b=4.1375 c=4.1375 alpha=90.00 beta=90.00 gamma=90.00
With the nearest neighbours (Å) after each atom.
Sites, in units of the cell vectors:
Co: 0.0000 0.0000 0.5000  2 Si 2.07
Co: 0.0000 0.5000 0.0000  2 Si 2.07
Co: 0.5000 0.0000 0.0000  2 Si 2.07
Si: 0.0000 0.0000 0.0000  6 Co 2.07
Ru: 0.5000 0.5000 0.5000  12 Co 2.93


# 6
CoSiRu3: relaxed, PBE.

The density of states at the Fermi level comes out at 1.515 states/eV/atom. Its total moment is 0.000 μB per atom. For the theoretical density, the calculation gives 8.1 Mg/m³. As for the formation energy from raw total energies: 5.4 eV per formula unit.

Unit cell a=4.3097 b=4.3097 c=4.3097 alpha=90.00 beta=90.00 gamma=90.00
With the nearest neighbours (Å) after each atom.
Sites, in units of the cell vectors:
Co: 0.0000 0.0000 0.0000  12 Ru 3.05
Si: 0.5000 0.5000 0.5000  6 Ru 2.15
Ru: 0.0000 0.5000 0.5000  2 Si 2.15
Ru: 0.5000 0.0000 0.5000  2 Si 2.15
Ru: 0.5000 0.5000 0.0000  2 Si 2.15


# 7
CoSiRu2: relaxed, PBE.

The density of states at the Fermi level comes out at 1.066 states/eV/atom. Its total moment is 0.412 μB per atom. For the theoretical density, the calculation gives 9.2 Mg/m³. As for the formation energy from raw total energies: -0.4 eV per formula unit.

Unit cell a=2.7508 b=3.7543 c=5.1349 alpha=90.00 beta=101.18 gamma=90.00
With the nearest neighbours (Å) after each atom.
Sites, in units of the cell vectors:
Co: 0.0000 0.0000 0.0000  2 Si 2.57, 8 Ru 2.61-2.71, 2 Co 2.75
Si: 0.0000 0.0000 0.5000  4 Ru 2.38, 2 Co 2.57
Ru: 0.3743 0.5000 0.7441  2 Si 2.38, 1 Ru 2.58, 2 Co 2.61
Ru: 0.6257 0.5000 0.2559  2 Si 2.38, 1 Ru 2.58, 2 Co 2.61


# 8
CoSiRu2: relaxed, PBE.

The density of states at the Fermi level comes out at 1.166 states/eV/atom. Its total moment is 0.553 μB per atom. For the theoretical density, the calculation gives 9.3 Mg/m³. As for the formation energy from raw total energies: 0.1 eV per formula unit.

Unit cell a=4.1863 b=4.1863 c=4.1863 alpha=60.00 beta=60.00 gamma=60.00
With the nearest neighbours (Å) after each atom.
Sites, in units of the cell vectors:
Co: 0.0000 0.0000 0.0000  4 Ru 2.56, 4 Si 2.56
Si: 0.2500 0.2500 0.2500  4 Co 2.56, 4 Ru 2.56
Ru: 0.5000 0.5000 0.5000  4 Ru 2.56, 4 Si 2.56
Ru: 0.7500 0.7500 0.7500  4 Co 2.56, 4 Ru 2.56


# 9
CoSiRu2: relaxed, PBE.

The density of states at the Fermi level comes out at 1.308 states/eV/atom. Its total moment is 0.036 μB per atom. For the theoretical density, the calculation gives 9.4 Mg/m³. As for the formation energy from raw total energies: -0.4 eV per formula unit.

Unit cell a=4.4222 b=4.4222 c=4.6272 alpha=103.37 beta=103.37 gamma=35.62
With the nearest neighbours (Å) after each atom.
Sites, in units of the cell vectors:
Co: 0.0000 0.0000 0.0000  6 Ru 2.55-2.60, 4 Si 2.68, 2 Co 2.70
Si: 0.5000 0.5000 0.5000  6 Ru 2.47-2.72, 4 Co 2.68, 2 Si 2.70
Ru: 0.2394 0.2394 0.7524  3 Si 2.47-2.72, 3 Co 2.55-2.60, 6 Ru 2.63-2.74
Ru: 0.7606 0.7606 0.2476  3 Si 2.47-2.72, 3 Co 2.55-2.60, 6 Ru 2.63-2.74


# 10
CoSiRu2: relaxed, PBE.

The density of states at the Fermi level comes out at 1.249 states/eV/atom. Its total moment is 0.630 μB per atom. For the theoretical density, the calculation gives 9.0 Mg/m³. As for the formation energy from raw total energies: 0.5 eV per formula unit.

Unit cell a=2.7180 b=2.7180 c=8.0731 alpha=90.00 beta=90.00 gamma=116.11
With the nearest neighbours (Å) after each atom.
Sites, in units of the cell vectors:
Co: 0.0000 0.0000 0.0000  4 Ru 2.58, 6 Co 2.72-2.88
Si: 0.0000 0.0000 0.5000  4 Ru 2.38
Ru: 0.5000 0.5000 0.2658  2 Si 2.38, 2 Co 2.58
Ru: 0.5000 0.5000 0.7342  2 Si 2.38, 2 Co 2.58


# 11
CoSiRu2: relaxed, PBE.

The density of states at the Fermi level comes out at 1.213 states/eV/atom. Its total moment is 0.712 μB per atom. For the theoretical density, the calculation gives 9.1 Mg/m³. As for the formation energy from raw total energies: 0.3 eV per formula unit.

Unit cell a=4.8622 b=4.8622 c=2.7207 alpha=103.94 beta=103.94 gamma=113.84
With the nearest neighbours (Å) after each atom.
Sites, in units of the cell vectors:
Co: 0.0000 0.0000 0.0000  4 Ru 2.48, 2 Si 2.65, 2 Co 2.72
Si: 0.5000 0.5000 0.0000  4 Ru 2.48, 2 Co 2.65, 2 Si 2.72
Ru: 0.0000 0.5000 0.5000  2 Co 2.48, 2 Si 2.48, 4 Ru 2.65-2.72
Ru: 0.5000 0.0000 0.5000  2 Co 2.48, 2 Si 2.48, 4 Ru 2.65-2.72


# 12
Co2SiRu: relaxed, PBE.

The density of states at the Fermi level comes out at 1.028 states/eV/atom. Its total moment is 0.711 μB per atom. For the theoretical density, the calculation gives 8.7 Mg/m³. As for the formation energy from raw total energies: -1.0 eV per formula unit.

Unit cell a=4.8323 b=4.8323 c=4.8323 alpha=146.69 beta=129.84 gamma=61.55
With the nearest neighbours (Å) after each atom.
Sites, in units of the cell vectors:
Co: 0.2294 0.2294 0.0000  2 Si 2.35, 4 Co 2.50
Co: 0.7706 0.7706 0.0000  2 Si 2.35, 4 Co 2.50
Si: 0.0000 0.5000 0.5000  4 Co 2.35, 4 Ru 2.47
Ru: 0.5000 0.0000 0.5000  4 Si 2.47, 4 Co 2.64